No. 1
Density functional theory data (GGA-PBE) for TaNb2Ga2Ru5 after structural relaxation.

Output
The value obtained for the density of states at the Fermi level is 17.0 states/eV/cell. As for the formation enthalpy at 0 K: -3.70 kcal/mol of atoms. The space group is P4/mbm (127). The value obtained for the spin magnetization is 0.000 Bohr magnetons per cell.

a = 9.596 Å, b = 9.596 Å, c = 3.423 Å
α = 90.00°, β = 90.00°, γ = 90.00°
Element x y z (fractional)
Ta (0.000, 0.000, 0.000)
Ta (0.500, 0.500, 0.000)
Nb (0.169, 0.331, 0.000)
Nb (0.331, 0.831, 0.000)
Nb (0.669, 0.169, 0.000)
Nb (0.831, 0.669, 0.000)
Ga (0.131, 0.631, 0.000)
Ga (0.369, 0.131, 0.000)
Ga (0.631, 0.869, 0.000)
Ga (0.869, 0.369, 0.000)
Ru (0.000, 0.500, 0.500)
Ru (0.051, 0.796, 0.500)
Ru (0.204, 0.051, 0.500)
Ru (0.296, 0.551, 0.500)
Ru (0.449, 0.296, 0.500)
Ru (0.500, 0.000, 0.500)
Ru (0.551, 0.704, 0.500)
Ru (0.704, 0.449, 0.500)
Ru (0.796, 0.949, 0.500)
Ru (0.949, 0.204, 0.500)

No. 2
Density functional theory data (GGA-PBE) for NbGaTcRu after structural relaxation.

Output
The value obtained for the density of states at the Fermi level is 4.0 states/eV/cell. As for the formation enthalpy at 0 K: -7.34 kcal/mol of atoms. The space group is P4mm (99). The value obtained for the spin magnetization is 0.000 Bohr magnetons per cell.

a = 3.170 Å, b = 3.170 Å, c = 6.070 Å
α = 90.00°, β = 90.00°, γ = 90.00°
Element x y z (fractional)
Nb (0.000, 0.000, 0.000)
Ga (0.000, 0.000, 0.497)
Tc (0.500, 0.500, 0.253)
Ru (0.500, 0.500, 0.737)

No. 3
Density functional theory data (GGA-PBE) for Tm2NbGa2Ru5 after structural relaxation.

Output
The value obtained for the density of states at the Fermi level is 16.9 states/eV/cell. As for the formation enthalpy at 0 K: -9.12 kcal/mol of atoms. The space group is P4/mbm (127). The value obtained for the spin magnetization is 0.000 Bohr magnetons per cell.

a = 10.040 Å, b = 10.040 Å, c = 3.349 Å
α = 90.00°, β = 90.00°, γ = 90.00°
Element x y z (fractional)
Tm (0.171, 0.329, 0.000)
Tm (0.329, 0.829, 0.000)
Tm (0.671, 0.171, 0.000)
Tm (0.829, 0.671, 0.000)
Nb (0.000, 0.000, 0.000)
Nb (0.500, 0.500, 0.000)
Ga (0.128, 0.628, 0.000)
Ga (0.372, 0.128, 0.000)
Ga (0.628, 0.872, 0.000)
Ga (0.872, 0.372, 0.000)
Ru (0.000, 0.500, 0.500)
Ru (0.067, 0.802, 0.500)
Ru (0.198, 0.067, 0.500)
Ru (0.302, 0.567, 0.500)
Ru (0.433, 0.302, 0.500)
Ru (0.500, 0.000, 0.500)
Ru (0.567, 0.698, 0.500)
Ru (0.698, 0.433, 0.500)
Ru (0.802, 0.933, 0.500)
Ru (0.933, 0.198, 0.500)

No. 4
Density functional theory data (GGA-PBE) for TmNbGaRu after structural relaxation.

Output
The value obtained for the density of states at the Fermi level is 3.2 states/eV/cell. As for the formation enthalpy at 0 K: -5.32 kcal/mol of atoms. The space group is F-43m (216). The value obtained for the spin magnetization is 0.000 Bohr magnetons per cell.

a = 4.685 Å, b = 4.685 Å, c = 4.685 Å
α = 60.00°, β = 60.00°, γ = 60.00°
Element x y z (fractional)
Tm (0.000, 0.000, 0.000)
Nb (0.500, 0.500, 0.500)
Ga (0.750, 0.750, 0.750)
Ru (0.250, 0.250, 0.250)

No. 5
Density functional theory data (GGA-PBE) for Y2NbGa2Ru5 after structural relaxation.

Output
The value obtained for the density of states at the Fermi level is 17.0 states/eV/cell. As for the formation enthalpy at 0 K: -8.44 kcal/mol of atoms. The space group is P4/mbm (127). The value obtained for the spin magnetization is 0.000 Bohr magnetons per cell.

a = 10.117 Å, b = 10.117 Å, c = 3.353 Å
α = 90.00°, β = 90.00°, γ = 90.00°
Element x y z (fractional)
Y (0.171, 0.329, 0.000)
Y (0.329, 0.829, 0.000)
Y (0.671, 0.171, 0.000)
Y (0.829, 0.671, 0.000)
Nb (0.000, 0.000, 0.000)
Nb (0.500, 0.500, 0.000)
Ga (0.128, 0.628, 0.000)
Ga (0.372, 0.128, 0.000)
Ga (0.628, 0.872, 0.000)
Ga (0.872, 0.372, 0.000)
Ru (0.000, 0.500, 0.500)
Ru (0.066, 0.802, 0.500)
Ru (0.198, 0.066, 0.500)
Ru (0.302, 0.566, 0.500)
Ru (0.434, 0.302, 0.500)
Ru (0.500, 0.000, 0.500)
Ru (0.566, 0.698, 0.500)
Ru (0.698, 0.434, 0.500)
Ru (0.802, 0.934, 0.500)
Ru (0.934, 0.198, 0.500)

No. 6
Density functional theory data (GGA-PBE) for YNbGaRu2 after structural relaxation.

Output
The value obtained for the density of states at the Fermi level is 3.7 states/eV/cell. As for the formation enthalpy at 0 K: 12.39 kcal/mol of atoms. The space group is P4/mmm (123). The value obtained for the spin magnetization is 0.000 Bohr magnetons per cell.

a = 4.723 Å, b = 4.723 Å, c = 4.989 Å
α = 90.00°, β = 90.00°, γ = 90.00°
Element x y z (fractional)
Y (0.000, 0.000, 0.000)
Nb (0.500, 0.500, 0.500)
Ga (0.500, 0.500, 0.000)
Ru (0.000, 0.500, 0.500)
Ru (0.500, 0.000, 0.500)

No. 7
Density functional theory data (GGA-PBE) for NbGaS3 after structural relaxation.

Output
The value obtained for the density of states at the Fermi level is 1.7 states/eV/cell. The calculation puts the relative energy among the computed polymorphs at 425.7 meV/atom. The space group is Pm-3m (221). The value obtained for the spin magnetization is 0.000 Bohr magnetons per cell. The energy relative to the elements, uncorrected is -0.434 eV per atom.

a = 4.840 Å, b = 4.840 Å, c = 4.840 Å
α = 90.00°, β = 90.00°, γ = 90.00°
Element x y z (fractional)
Nb (0.000, 0.000, 0.000)
Ga (0.500, 0.500, 0.500)
S (0.000, 0.000, 0.500)
S (0.000, 0.500, 0.000)
S (0.500, 0.000, 0.000)

No. 8
Density functional theory data (GGA-PBE) for NbGa3S after structural relaxation.

Output
The value obtained for the density of states at the Fermi level is 5.3 states/eV/cell. The calculation puts the relative energy among the computed polymorphs at 48.2 meV/atom. The space group is Pm-3m (221). The value obtained for the spin magnetization is 2.753 Bohr magnetons per cell. The energy relative to the elements, uncorrected is 0.804 eV per atom.

a = 5.126 Å, b = 5.126 Å, c = 5.126 Å
α = 90.00°, β = 90.00°, γ = 90.00°
Element x y z (fractional)
Nb (0.000, 0.000, 0.000)
Ga (0.000, 0.000, 0.500)
Ga (0.000, 0.500, 0.000)
Ga (0.500, 0.000, 0.000)
S (0.500, 0.500, 0.500)

No. 9
Density functional theory data (GGA-PBE) for Nb6Ga3S after structural relaxation.

Output
The value obtained for the density of states at the Fermi level is 11.5 states/eV/cell. The space group is P2_1/c (14). The value obtained for the spin magnetization is 0.000 Bohr magnetons per cell. The energy relative to the elements, uncorrected is -0.196 eV per atom.

a = 5.091 Å, b = 7.601 Å, c = 10.240 Å
α = 90.00°, β = 118.41°, γ = 90.00°
Element x y z (fractional)
Nb (0.014, 0.164, 0.437)
Nb (0.014, 0.336, 0.937)
Nb (0.369, 0.683, 0.435)
Nb (0.369, 0.817, 0.935)
Nb (0.412, 0.059, 0.257)
Nb (0.412, 0.441, 0.757)
Nb (0.588, 0.559, 0.243)
Nb (0.588, 0.941, 0.743)
Nb (0.631, 0.183, 0.065)
Nb (0.631, 0.317, 0.565)
Nb (0.986, 0.664, 0.063)
Nb (0.986, 0.836, 0.563)
Ga (0.000, 0.000, 0.000)
Ga (0.000, 0.500, 0.500)
Ga (0.144, 0.120, 0.762)
Ga (0.144, 0.380, 0.262)
Ga (0.856, 0.620, 0.738)
Ga (0.856, 0.880, 0.238)
S (0.500, 0.000, 0.500)
S (0.500, 0.500, 0.000)

No. 10
Density functional theory data (GGA-PBE) for NbGaS2 after structural relaxation.

Output
The value obtained for the density of states at the Fermi level is 1.2 states/eV/cell. The space group is R3m (160). The value obtained for the spin magnetization is 0.000 Bohr magnetons per cell. The energy relative to the elements, uncorrected is -0.699 eV per atom.

a = 7.956 Å, b = 7.956 Å, c = 7.956 Å
α = 24.39°, β = 24.39°, γ = 24.39°
Element x y z (fractional)
Nb (0.000, 0.000, 0.000)
Ga (0.160, 0.160, 0.160)
S (0.403, 0.403, 0.403)
S (0.598, 0.598, 0.598)

No. 11
Density functional theory data (GGA-PBE) for NbGaS3 after structural relaxation.

Output
The value obtained for the density of states at the Fermi level is 3.6 states/eV/cell. The calculation puts the relative energy among the computed polymorphs at 0.0 meV/atom. The space group is Pnma (62). The value obtained for the spin magnetization is 0.000 Bohr magnetons per cell. The energy relative to the elements, uncorrected is -0.859 eV per atom.

a = 10.377 Å, b = 3.503 Å, c = 12.523 Å
α = 90.00°, β = 90.00°, γ = 90.00°
Element x y z (fractional)
Nb (0.067, 0.250, 0.082)
Nb (0.433, 0.750, 0.582)
Nb (0.567, 0.250, 0.418)
Nb (0.933, 0.750, 0.918)
Ga (0.214, 0.750, 0.276)
Ga (0.286, 0.250, 0.776)
Ga (0.714, 0.750, 0.224)
Ga (0.786, 0.250, 0.724)
S (0.078, 0.250, 0.300)
S (0.101, 0.250, 0.886)
S (0.246, 0.750, 0.096)
S (0.254, 0.250, 0.596)
S (0.399, 0.750, 0.386)
S (0.422, 0.750, 0.800)
S (0.578, 0.250, 0.200)
S (0.601, 0.250, 0.614)
S (0.746, 0.750, 0.404)
S (0.754, 0.250, 0.904)
S (0.899, 0.750, 0.114)
S (0.922, 0.750, 0.700)

No. 12
Density functional theory data (GGA-PBE) for NbGaS2 after structural relaxation.

Output
The value obtained for the density of states at the Fermi level is 1.9 states/eV/cell. The space group is R-3m (166). The value obtained for the spin magnetization is 0.000 Bohr magnetons per cell. The energy relative to the elements, uncorrected is -0.707 eV per atom.

a = 8.959 Å, b = 8.959 Å, c = 8.959 Å
α = 21.23°, β = 21.23°, γ = 21.23°
Element x y z (fractional)
Nb (0.000, 0.000, 0.000)
Ga (0.500, 0.500, 0.500)
S (0.394, 0.394, 0.394)
S (0.606, 0.606, 0.606)